Pm5Pt2Au (PBE, optimized geometry); total magnetic moment = 0.00 μB/f.u.; uncorrected energy = -5.7047 eV/atom; symmetry = No. 140
1.0
-6.219 -0.164 5.056
-4.856 -2.049 -6.040
6.717 -5.349 1.734
Pm Pt Au
10 4 2
Cartesian
3.499 -3.926 2.105 Pm
-3.901 -3.198 -2.832 Pm
-5.538 -1.107 -0.492 Pm
-0.457 -4.364 3.581 Pm
-7.856 -3.637 -1.356 Pm
2.154 -4.922 -1.795 Pm
-1.802 -5.361 -0.319 Pm
0.000 0.000 0.000 Pm
-6.511 -2.641 2.545 Pm
-2.556 -2.202 1.069 Pm
-8.467 -1.438 0.566 Pt
-4.576 -0.375 2.397 Pt
-6.499 -1.838 -3.382 Pt
-2.608 -0.775 -1.551 Pt
-4.948 -4.334 0.129 Au
0.590 -3.228 0.621 Au